## La2Ce4Pb3O2 (PBE)

Data for La2Ce4Pb3O2 after structural relaxation.

The density of states at the Fermi level comes out at 23.7 states/eV per cell. The value obtained for the uncorrected formation energy is -1.323 eV/atom.

Cell: 4.8069 4.8069 13.7867 Å, 100.04 100.04 90.00°
Fractional positions:
La  0.6960  0.6960  0.3919
La  0.3040  0.3040  0.6081
Pb  0.0000  0.0000  0.0000
Pb  0.8241  0.8241  0.6482
Pb  0.1759  0.1759  0.3518
O  0.5985  0.5985  0.1970
O  0.4015  0.4015  0.8030
Ce  0.0837  0.5837  0.1674
Ce  0.5837  0.0837  0.1674
Ce  0.9163  0.4163  0.8326
Ce  0.4163  0.9163  0.8326

***

## LaCePuO6 (PBE)

Data for LaCePuO6 after structural relaxation.

The density of states at the Fermi level comes out at 20.1 states/eV per cell. The value obtained for the uncorrected formation energy is -3.055 eV/atom.

Cell: 5.9675 5.9675 9.2466 Å, 90.00 90.00 120.00°
Fractional positions:
O  0.0379  0.6852  0.8711
O  0.6473  0.9621  0.8711
O  0.6852  0.6473  0.1289
O  0.3148  0.3527  0.8711
O  0.6852  0.0379  0.3711
O  0.9621  0.6473  0.3711
O  0.3527  0.3148  0.3711
O  0.6473  0.6852  0.6289
O  0.9621  0.3148  0.1289
O  0.3148  0.9621  0.6289
O  0.3527  0.0379  0.1289
O  0.0379  0.3527  0.6289
Ce  0.0000  0.0000  0.0000
Ce  0.0000  0.0000  0.5000
La  0.6667  0.3333  0.7500
La  0.3333  0.6667  0.2500
Pu  0.3333  0.6667  0.7500
Pu  0.6667  0.3333  0.2500

***

## Rb2LaCeO4 (PBE)

Data for Rb2LaCeO4 after structural relaxation.

The density of states at the Fermi level comes out at 2.7 states/eV per cell. The value obtained for the uncorrected formation energy is -2.575 eV/atom.

Cell: 3.7161 6.4410 6.9352 Å, 108.12 90.00 90.00°
Fractional positions:
O  0.0000  0.7323  0.1784
O  0.5000  0.7791  0.8211
O  0.0000  0.2677  0.8216
O  0.5000  0.2209  0.1789
Rb  0.0000  0.5000  0.5000
Rb  0.5000  0.0000  0.5000
Ce  0.0000  0.0000  0.0000
La  0.5000  0.5000  0.0000

***

## LaCeS2O (PBE)

Data for LaCeS2O after structural relaxation.

The density of states at the Fermi level comes out at 10.8 states/eV per cell. The value obtained for the uncorrected formation energy is -2.536 eV/atom.

Cell: 4.0446 4.0446 14.0650 Å, 90.00 90.00 90.00°
Fractional positions:
S  0.0000  0.5000  0.6986
S  0.5000  0.0000  0.9067
S  0.5000  0.0000  0.3014
S  0.0000  0.5000  0.0933
O  0.5000  0.5000  0.5000
O  0.0000  0.0000  0.5000
La  0.5000  0.0000  0.5887
La  0.0000  0.5000  0.4113
Ce  0.0000  0.5000  0.8820
Ce  0.5000  0.0000  0.1180

***

## LaCeSO2 (PBE)

Data for LaCeSO2 after structural relaxation.

The density of states at the Fermi level comes out at 6.5 states/eV per cell. The value obtained for the uncorrected formation energy is -2.995 eV/atom.

Cell: 3.9245 3.9245 6.8225 Å, 106.72 106.72 90.00°
Fractional positions:
S  0.5000  0.5000  0.0001
La  0.1456  0.1456  0.2912
O  0.2520  0.7520  0.5040
O  0.7520  0.2520  0.5040
Ce  0.8504  0.8504  0.7007

***

## LaCeSb2O8 (PBE)

Data for LaCeSb2O8 after structural relaxation.

The density of states at the Fermi level comes out at 6.2 states/eV per cell. The value obtained for the uncorrected formation energy is -2.219 eV/atom.

Cell: 6.3780 6.3780 6.3780 Å, 107.58 107.58 113.33°
Fractional positions:
O  0.9378  0.6209  0.6831
O  0.7453  0.0622  0.6831
O  0.3791  0.0622  0.3169
O  0.9378  0.2547  0.3169
O  0.3143  0.5050  0.1906
O  0.3143  0.1237  0.8094
O  0.4950  0.6857  0.8094
O  0.8763  0.6857  0.1906
Ce  0.2500  0.7500  0.5000
Sb  0.5000  0.5000  0.0000
Sb  0.7500  0.2500  0.5000
La  0.0000  0.0000  0.0000

***

## La2CeSb2O2 (PBE)

Data for La2CeSb2O2 after structural relaxation.

The density of states at the Fermi level comes out at 2.3 states/eV per cell. The value obtained for the uncorrected formation energy is -1.996 eV/atom.

Cell: 4.5010 4.5010 9.0821 Å, 104.35 104.35 90.00°
Fractional positions:
La  0.3746  0.3746  0.7492
La  0.6254  0.6254  0.2508
O  0.5000  0.0000  0.0000
O  0.0000  0.5000  0.0000
Ce  0.0000  0.0000  0.0000
Sb  0.1830  0.1830  0.3659
Sb  0.8170  0.8170  0.6341

***

## La2Ce4Sb3O2 (PBE)

Data for La2Ce4Sb3O2 after structural relaxation.

The density of states at the Fermi level comes out at 22.1 states/eV per cell. The value obtained for the uncorrected formation energy is -1.647 eV/atom.

Cell: 4.7434 4.7434 13.5772 Å, 100.06 100.06 90.00°
Fractional positions:
Ce  0.9170  0.4170  0.8341
Ce  0.0830  0.5830  0.1659
Ce  0.4170  0.9170  0.8341
Ce  0.5830  0.0830  0.1659
O  0.5986  0.5986  0.1973
O  0.4014  0.4014  0.8027
Sb  0.0000  0.0000  0.0000
Sb  0.8250  0.8250  0.6499
Sb  0.1750  0.1750  0.3501
La  0.6975  0.6975  0.3949
La  0.3025  0.3025  0.6051

***

## LaCeSe2O (PBE)

Data for LaCeSe2O after structural relaxation.

The density of states at the Fermi level comes out at 14.5 states/eV per cell. The value obtained for the uncorrected formation energy is -2.448 eV/atom.

Cell: 4.1234 4.1234 14.8675 Å, 90.00 90.00 90.00°
Fractional positions:
O  0.5000  0.5000  0.5000
O  0.0000  0.0000  0.5000
Se  0.0000  0.5000  0.0904
Se  0.5000  0.0000  0.9096
Se  0.0000  0.5000  0.6802
Se  0.5000  0.0000  0.3198
Ce  0.5000  0.0000  0.5790
Ce  0.0000  0.5000  0.4210
La  0.0000  0.5000  0.8737
La  0.5000  0.0000  0.1263

***

## La2CeSnO (PBE)

Data for La2CeSnO after structural relaxation.

The density of states at the Fermi level comes out at 7.8 states/eV per cell. The value obtained for the uncorrected formation energy is -1.502 eV/atom.

Cell: 4.9086 5.0663 5.0663 Å, 90.00 90.00 90.00°
Fractional positions:
Sn  0.5000  0.5000  0.5000
O  0.0000  0.0000  0.0000
La  0.0000  0.5000  0.0000
La  0.0000  0.0000  0.5000
Ce  0.5000  0.0000  0.0000

***

## LaCe2SnO (PBE)

Data for LaCe2SnO after structural relaxation.

The density of states at the Fermi level comes out at 9.1 states/eV per cell. The value obtained for the uncorrected formation energy is -1.476 eV/atom.

Cell: 5.0796 4.8922 4.8922 Å, 90.00 90.00 90.00°
Fractional positions:
La  0.5000  0.0000  0.0000
O  0.0000  0.0000  0.0000
Ce  0.0000  0.0000  0.5000
Ce  0.0000  0.5000  0.0000
Sn  0.5000  0.5000  0.5000

***

## La2Ce4Sn3O2 (PBE)

Data for La2Ce4Sn3O2 after structural relaxation.

The density of states at the Fermi level comes out at 22.1 states/eV per cell. The value obtained for the uncorrected formation energy is -1.439 eV/atom.

Cell: 4.7843 4.7843 13.5816 Å, 100.14 100.14 90.00°
Fractional positions:
La  0.6966  0.6966  0.3932
La  0.3034  0.3034  0.6068
O  0.5975  0.5975  0.1950
O  0.4025  0.4025  0.8050
Sn  0.1742  0.1742  0.3483
Sn  0.8258  0.8258  0.6517
Sn  0.0000  0.0000  0.0000
Ce  0.5828  0.0828  0.1657
Ce  0.9172  0.4172  0.8343
Ce  0.4172  0.9172  0.8343
Ce  0.0828  0.5828  0.1657

***

Repeat the fourth record exactly.
## LaCeS2O (PBE)

Data for LaCeS2O after structural relaxation.

The density of states at the Fermi level comes out at 10.8 states/eV per cell. The value obtained for the uncorrected formation energy is -2.536 eV/atom.

Cell: 4.0446 4.0446 14.0650 Å, 90.00 90.00 90.00°
Fractional positions:
S  0.0000  0.5000  0.6986
S  0.5000  0.0000  0.9067
S  0.5000  0.0000  0.3014
S  0.0000  0.5000  0.0933
O  0.5000  0.5000  0.5000
O  0.0000  0.0000  0.5000
La  0.5000  0.0000  0.5887
La  0.0000  0.5000  0.4113
Ce  0.0000  0.5000  0.8820
Ce  0.5000  0.0000  0.1180

***

Please write out number 6 again, unchanged.
## LaCeSb2O8 (PBE)

Data for LaCeSb2O8 after structural relaxation.

The density of states at the Fermi level comes out at 6.2 states/eV per cell. The value obtained for the uncorrected formation energy is -2.219 eV/atom.

Cell: 6.3780 6.3780 6.3780 Å, 107.58 107.58 113.33°
Fractional positions:
O  0.9378  0.6209  0.6831
O  0.7453  0.0622  0.6831
O  0.3791  0.0622  0.3169
O  0.9378  0.2547  0.3169
O  0.3143  0.5050  0.1906
O  0.3143  0.1237  0.8094
O  0.4950  0.6857  0.8094
O  0.8763  0.6857  0.1906
Ce  0.2500  0.7500  0.5000
Sb  0.5000  0.5000  0.0000
Sb  0.7500  0.2500  0.5000
La  0.0000  0.0000  0.0000

***

Which formula does entry 1 have? La2Ce4Pb3O2